Computed, not measured: an optimized crystal structure of PuAgSb at the PBE level of DFT.

POSCAR file:
```
PuAgSb
1.0
-4.165 1.283 -1.602
2.402 -0.961 -7.012
-3.889 -12.257 0.292
Ag Sb Pu
6 6 6
direct
0.250 0.833 0.455
0.750 0.167 0.545
0.250 0.346 0.205
0.750 0.007 0.909
0.750 0.654 0.795
0.250 0.993 0.091
0.750 0.280 0.756
0.250 0.768 0.905
0.250 0.230 0.422
0.250 0.720 0.244
0.750 0.232 0.095
0.750 0.770 0.578
0.750 0.004 0.304
0.750 0.656 0.075
0.750 0.517 0.375
0.250 0.996 0.696
0.250 0.344 0.925
0.250 0.483 0.625
```

Values from the calculation:
Volume   24.8 Å³/atom
ΔE_f (raw)   -0.36 eV per atom
Density   10.6 Mg/m³
Final energy   -22.39 eV per formula unit

Computed, not measured: an optimized crystal structure of Pu2AgSb at the PBE level of DFT.

POSCAR file:
```
Pu2AgSb
1.0
4.403 0.000 0.000
0.000 4.761 0.000
0.000 0.000 4.761
Pu Sb Ag
2 1 1
direct
0.000 0.500 0.000
0.000 0.000 0.500
0.500 0.500 0.500
0.500 0.000 0.000
```

Values from the calculation:
Offset from the most stable computed form   0.000 eV per atom
Volume   24.9 Å³/atom
ΔE_f (raw)   -0.30 eV per atom
Density   11.9 Mg/m³
Final energy   -36.84 eV per formula unit

Computed, not measured: an optimized crystal structure of PuAg4Sb at the PBE level of DFT.

POSCAR file:
```
PuAg4Sb
1.0
-2.203 -4.922 -1.780
3.240 -4.660 -0.183
-0.882 -4.218 3.698
Sb Ag Pu
1 4 1
direct
0.000 0.000 0.000
0.625 0.126 0.625
0.126 0.625 0.625
0.625 0.625 0.126
0.625 0.625 0.625
0.250 0.250 0.250
```

Values from the calculation:
Volume   21.6 Å³/atom
ΔE_f (raw)   -0.05 eV per atom
Density   10.2 Mg/m³
Final energy   -30.15 eV per formula unit

Computed, not measured: an optimized crystal structure of Pu2AgSb at the PBE level of DFT.

POSCAR file:
```
Pu2AgSb
1.0
5.266 0.000 0.000
2.633 4.560 0.000
2.633 1.520 4.299
Ag Sb Pu
1 1 2
direct
0.500 0.500 0.500
0.000 0.000 0.000
0.750 0.750 0.750
0.250 0.250 0.250
```

Values from the calculation:
Offset from the most stable computed form   0.011 eV per atom
Volume   25.8 Å³/atom
ΔE_f (raw)   -0.29 eV per atom
Density   11.5 Mg/m³
Final energy   -36.80 eV per formula unit

Computed, not measured: an optimized crystal structure of Pu2AgSb at the PBE level of DFT.

POSCAR file:
```
Pu2AgSb
1.0
-0.757 -3.203 -0.807
2.478 -2.277 -0.402
0.007 -4.212 9.596
Sb Ag Pu
1 1 2
direct
0.500 0.500 0.500
0.000 0.000 0.000
0.749 0.749 0.752
0.251 0.251 0.248
```

Values from the calculation:
Offset from the most stable computed form   0.309 eV per atom
Volume   25.6 Å³/atom
ΔE_f (raw)   0.01 eV per atom
Density   11.6 Mg/m³
Final energy   -35.61 eV per formula unit

Computed, not measured: an optimized crystal structure of PuAgSb at the PBE level of DFT.

POSCAR file:
```
PuAgSb
1.0
-5.381 -3.384 0.267
2.625 -4.321 -3.861
4.438 -0.468 8.713
Sb Ag Pu
4 4 4
direct
0.255 0.255 0.000
0.745 0.745 0.000
0.995 0.495 0.500
0.505 0.005 0.500
0.625 0.875 0.750
0.125 0.875 0.250
0.125 0.375 0.250
0.125 0.875 0.750
0.623 0.123 0.246
0.373 0.373 0.746
0.627 0.627 0.254
0.877 0.377 0.754
```

Values from the calculation:
Volume   29.4 Å³/atom
ΔE_f (raw)   -0.05 eV per atom
Density   8.9 Mg/m³
Final energy   -21.46 eV per formula unit

Computed, not measured: an optimized crystal structure of PuAgSb at the PBE level of DFT.

POSCAR file:
```
PuAgSb
1.0
3.731 0.000 0.000
0.000 4.798 0.000
0.000 -2.399 4.155
Sb Pu Ag
1 1 1
direct
0.168 0.333 0.667
0.667 0.667 0.333
0.166 0.000 0.000
```

Values from the calculation:
Volume   24.8 Å³/atom
ΔE_f (raw)   -0.30 eV per atom
Density   10.6 Mg/m³
Final energy   -22.21 eV per formula unit

Computed, not measured: an optimized crystal structure of PuAgSb at the PBE level of DFT.

POSCAR file:
```
PuAgSb
1.0
4.858 0.000 0.000
2.429 4.207 0.000
2.429 1.402 3.967
Pu Ag Sb
1 1 1
direct
0.000 0.000 0.000
0.250 0.250 0.250
0.500 0.500 0.500
```

Values from the calculation:
Volume   27.0 Å³/atom
ΔE_f (raw)   -0.23 eV per atom
Density   9.7 Mg/m³
Final energy   -21.99 eV per formula unit

Computed, not measured: an optimized crystal structure of SmPuAgSb at the PBE level of DFT.

POSCAR file:
```
SmPuAgSb
1.0
-4.120 -1.134 3.156
0.744 -0.603 5.225
-1.839 3.658 3.384
Sm Sb Pu Ag
1 1 1 1
direct
0.750 0.750 0.750
0.500 0.500 0.500
0.250 0.250 0.250
0.000 0.000 0.000
```

Values from the calculation:
Volume   26.5 Å³/atom
ΔE_f (raw)   -0.44 eV per atom
Density   9.8 Mg/m³
Final energy   -27.78 eV per formula unit

Computed, not measured: an optimized crystal structure of SrPuAgSb at the PBE level of DFT.

POSCAR file:
```
SrPuAgSb
1.0
5.469 0.000 0.000
2.734 4.736 0.000
2.734 1.579 4.465
Ag Pu Sr Sb
1 1 1 1
direct
0.750 0.750 0.750
0.500 0.500 0.500
0.000 0.000 0.000
0.250 0.250 0.250
```

Values from the calculation:
Volume   28.9 Å³/atom
ΔE_f (raw)   -0.40 eV per atom
Density   8.1 Mg/m³
Final energy   -24.60 eV per formula unit

Computed, not measured: an optimized crystal structure of TbPuAgSb at the PBE level of DFT.

POSCAR file:
```
TbPuAgSb
1.0
-0.255 -4.795 -2.167
4.067 -1.849 -2.791
2.949 -3.919 1.922
Ag Sb Tb Pu
1 1 1 1
direct
0.000 0.000 0.000
0.500 0.500 0.500
0.750 0.750 0.750
0.250 0.250 0.250
```

Values from the calculation:
Volume   25.8 Å³/atom
ΔE_f (raw)   -0.43 eV per atom
Density   10.2 Mg/m³
Final energy   -27.65 eV per formula unit

Computed, not measured: an optimized crystal structure of PuAgSbTe3 at the PBE level of DFT.

POSCAR file:
```
PuAgSbTe3
1.0
4.327 0.000 0.000
0.000 8.675 1.245
0.000 -3.031 9.262
Ag Te Pu Sb
2 6 2 2
direct
0.250 0.079 0.584
0.750 0.921 0.416
0.750 0.902 0.114
0.250 0.738 0.503
0.750 0.262 0.497
0.250 0.098 0.886
0.250 0.601 0.850
0.750 0.399 0.150
0.750 0.839 0.751
0.250 0.161 0.249
0.750 0.339 0.837
0.250 0.661 0.163
```

Values from the calculation:
Volume   30.3 Å³/atom
ΔE_f (raw)   -0.37 eV per atom
Density   7.8 Mg/m³
Final energy   -32.94 eV per formula unit